Entry 1:
! MnHgAs3 (GGA-PBE, relaxed); values from VASP
&SYSTEM
  ibrav = 0, nat = 5, ntyp = 3
/
ATOMIC_SPECIES
As 74.92 As.upf
Mn 54.94 Mn.upf
Hg 200.59 Hg.upf
CELL_PARAMETERS angstrom
5.1213 0.0000 0.0000
0.0000 5.1213 0.0000
0.0000 0.0000 5.1213
ATOMIC_POSITIONS crystal
As 0.0000 0.5000 0.0000
As 0.0000 0.0000 0.5000
As 0.5000 0.0000 0.0000
Mn 0.5000 0.5000 0.5000
Hg 0.0000 0.0000 0.0000
! - ρ (Mg/m³) = 5.938
! - raw total energy (eV/cell) = -14.59
! - ΔE_f (eV per formula unit) = 8.83

Entry 2:
! Rb2LiAlF (GGA-PBE, relaxed); values from VASP
&SYSTEM
  ibrav = 0, nat = 5, ntyp = 4
/
ATOMIC_SPECIES
Rb 85.47 Rb.upf
F 19.00 F.upf
Li 6.94 Li.upf
Al 26.98 Al.upf
CELL_PARAMETERS angstrom
6.3764 0.0000 0.0000
0.0000 5.0298 0.0000
0.0000 0.0000 6.3764
ATOMIC_POSITIONS crystal
Rb 0.5000 0.0000 0.0000
Rb 0.0000 0.0000 0.5000
F 0.5000 0.5000 0.5000
Li 0.0000 0.0000 0.0000
Al 0.0000 0.5000 0.0000
! - ρ (Mg/m³) = 1.818
! - E_form (uncorrected) (meV per atom) = -272
! - raw total energy (eV/cell) = -10.82

Entry 3:
! Rb2PmHoTe4 (GGA-PBE, relaxed); values from VASP
&SYSTEM
  ibrav = 0, nat = 8, ntyp = 4
/
ATOMIC_SPECIES
Ho 164.93 Ho.upf
Rb 85.47 Rb.upf
Te 127.60 Te.upf
Pm 145.00 Pm.upf
CELL_PARAMETERS angstrom
4.5670 0.0000 0.0000
0.0000 7.9110 0.1371
0.0000 -2.7826 8.5142
ATOMIC_POSITIONS crystal
Ho 0.0000 0.0000 0.0000
Rb 0.0000 0.5000 0.5000
Rb 0.5000 0.0000 0.5000
Te 0.5000 0.7730 0.8004
Te 0.5000 0.2270 0.1996
Te 0.0000 0.7403 0.2025
Te 0.0000 0.2597 0.7975
Pm 0.5000 0.5000 0.0000
! - ρ (Mg/m³) = 5.321
! - E_form (uncorrected) (meV per atom) = -1390
! - raw total energy (eV/cell) = -34.95

Entry 4:
! CdCoCl2 (GGA-PBE, relaxed); values from VASP
&SYSTEM
  ibrav = 0, nat = 4, ntyp = 3
/
ATOMIC_SPECIES
Cl 35.45 Cl.upf
Cd 112.41 Cd.upf
Co 58.93 Co.upf
CELL_PARAMETERS angstrom
3.2993 0.0000 0.0000
0.0000 3.4990 0.0151
0.0000 0.8933 8.9969
ATOMIC_POSITIONS crystal
Cl 0.0000 0.1746 0.0767
Cl 0.0000 0.3254 0.4233
Cd 0.5000 0.7500 0.7500
Co 0.5000 0.2500 0.2500
! - ρ (Mg/m³) = 3.875
! - E_form (uncorrected) (meV per atom) = -215
! - raw total energy (eV/cell) = -12.57